Entry 1:
Entry from Alexandria via LeMat-Bulk: a relaxed UBiAu2 crystal (PBE).

extended XYZ file:
```
4
Lattice="-0.019 -4.450 -0.377 3.417 -0.274 3.059 -3.071 -0.275 3.406" Properties=species:S:1:pos:R:3 pbc="T T T"
Au -1.536 -0.138 1.703
Au 1.709 -0.137 1.530
U -0.010 -2.225 -0.188
Bi 0.164 -2.500 3.044
```

**Space group**: No. 123
**E_form**: -0.0379 eV per atom



Entry 2:
Entry from Alexandria via LeMat-Bulk: a relaxed Pu3HS6 crystal (PBE).

extended XYZ file:
```
20
Lattice="-5.938 0.302 -2.581 0.106 -8.290 -1.212 -3.308 0.561 7.678" Properties=species:S:1:pos:R:3 pbc="T T T"
Pu -5.186 -7.091 3.099
Pu -8.862 -5.107 3.650
Pu -4.277 -2.832 3.142
Pu -6.541 -4.511 0.014
Pu -6.826 -0.191 -0.462
Pu -3.149 -2.175 -1.013
H -7.715 -1.247 3.334
H -2.930 -6.104 -0.103
S -3.144 -5.341 3.508
S -6.329 -4.629 2.780
S -4.250 -3.084 5.824
S -5.644 -7.016 0.432
S -4.702 0.476 6.886
S -6.475 -1.290 3.897
S -1.674 -6.188 0.419
S -4.380 -7.907 -2.976
S -3.150 -0.429 3.603
S -4.544 -4.362 -1.789
S -2.105 -2.834 1.411
S -5.291 -2.123 0.684
```

**Total energy**: -166.2 eV per cell
**Space group**: No. 36



Entry 3:
Entry from Alexandria via LeMat-Bulk: a relaxed Co2HgPt crystal (PBE).

extended XYZ file:
```
4
Lattice="6.242 -0.001 -0.003 -2.495 3.972 0.006 1.251 0.779 2.367" Properties=species:S:1:pos:R:3 pbc="T T T"
Co 0.000 0.000 0.000
Co 3.747 0.389 1.182
Hg -0.622 2.376 1.187
Pt 1.873 1.986 0.002
```

**Space group**: No. 65
**E_form**: 0.2867 eV per atom



Entry 4:
Entry from Alexandria via LeMat-Bulk: a relaxed Cs3AgRu crystal (PBE).

extended XYZ file:
```
5
Lattice="6.001 0.000 0.000 0.000 6.001 0.000 0.000 0.000 6.001" Properties=species:S:1:pos:R:3 pbc="T T T"
Cs 0.000 3.000 0.000
Cs 0.000 0.000 3.000
Cs 3.000 0.000 0.000
Ru 0.000 0.000 0.000
Ag 3.000 3.000 3.000
```

**Space group**: No. 221
**E_form**: 0.7997 eV per atom
**Distance to the lowest polymorph of the same formula**: 0 meV per atom



Entry 5:
Entry from Alexandria via LeMat-Bulk: a relaxed InCN3 crystal (PBE).

extended XYZ file:
```
5
Lattice="4.262 0.000 0.000 0.000 4.262 0.000 0.000 0.000 4.262" Properties=species:S:1:pos:R:3 pbc="T T T"
C 2.131 2.131 2.131
N 0.000 2.131 0.000
N 0.000 0.000 2.131
N 2.131 0.000 0.000
In 0.000 0.000 0.000
```

**Space group**: No. 221
**E_form (uncorrected)**: 17.0 eV per formula unit



Entry 6:
Entry from Alexandria via LeMat-Bulk: a relaxed In2TcP crystal (PBE).

extended XYZ file:
```
4
Lattice="6.262 -0.598 -1.144 4.901 1.604 3.779 -5.347 -3.274 -1.250" Properties=species:S:1:pos:R:3 pbc="T T T"
In 10.618 0.958 2.506
In 2.636 -0.577 1.939
Tc 2.947 -1.711 -0.610
P 6.358 0.573 1.501
```

**Space group**: No. 44
**E_form**: 0.1064 eV per atom



Entry 7:
Entry from Alexandria via LeMat-Bulk: a relaxed AcSi3Tc3 crystal (PBE).

extended XYZ file:
```
14
Lattice="-1.338 -0.181 3.965 -8.738 -4.571 -3.158 7.270 -2.792 2.326" Properties=species:S:1:pos:R:3 pbc="T T T"
Ac 1.193 -3.708 3.552
Ac -3.998 -3.837 -0.419
Si -6.387 -5.437 0.915
Si -2.836 -2.477 2.249
Si -2.668 -5.136 2.184
Si 3.581 -2.108 2.219
Si 0.030 -5.068 0.885
Si -0.138 -2.409 0.950
Tc -0.672 -6.492 2.796
Tc -0.933 -1.012 2.958
Tc 4.309 -2.179 4.674
Tc -2.134 -1.053 0.338
Tc -1.873 -6.533 0.176
Tc -7.114 -5.365 -1.540
```

**Space group**: No. 11
**E_form (uncorrected)**: -2.9 eV per formula unit



Entry 8:
Entry from Alexandria via LeMat-Bulk: a relaxed ZnInReH2 crystal (PBE).

extended XYZ file:
```
5
Lattice="-2.052 -0.598 -3.016 4.888 -3.309 -2.669 -1.294 -3.121 1.499" Properties=species:S:1:pos:R:3 pbc="T T T"
Re 0.771 -3.514 -2.093
Zn 0.000 0.000 0.000
H -0.647 -1.561 0.749
H -1.026 -0.299 -1.508
In 2.444 -1.654 -1.334
```

**Total energy**: -17.4 eV per cell
**Space group**: No. 123



Entry 9:
Entry from Alexandria via LeMat-Bulk: a relaxed Li3CdHg3 crystal (PBE).

extended XYZ file:
```
14
Lattice="-2.367 -1.553 -6.855 4.764 0.114 -5.683 2.067 -6.567 -3.238" Properties=species:S:1:pos:R:3 pbc="T T T"
Li 3.494 -5.021 -9.996
Li -0.019 -5.368 -7.507
Li 3.779 -4.304 -5.746
Li 0.685 -3.703 -10.030
Li 4.483 -2.639 -8.269
Li 0.969 -2.986 -5.780
Cd 2.849 -6.967 -7.430
Cd 1.615 -1.040 -8.346
Hg 3.283 -1.571 -5.893
Hg -0.839 -2.755 -7.993
Hg 3.136 -2.331 -10.605
Hg 1.328 -5.676 -5.171
Hg 5.302 -5.252 -7.783
Hg 1.181 -6.436 -9.883
```

**Space group**: No. 148
**E_form**: -0.2176 eV per atom
**Distance to the lowest polymorph of the same formula**: 47 meV per atom



Entry 10:
Entry from Alexandria via LeMat-Bulk: a relaxed VAuN2 crystal (PBE).

extended XYZ file:
```
4
Lattice="1.854 0.000 6.023 -0.927 1.605 6.023 -0.927 -1.605 6.023" Properties=species:S:1:pos:R:3 pbc="T T T"
V 0.000 0.000 0.000
Au 0.000 0.000 9.035
N 0.000 0.000 16.219
N 0.000 0.000 1.851
```

**Space group**: No. 166
**Distance to the lowest polymorph of the same formula**: 1272 meV per atom
**E_form (uncorrected)**: 4.5 eV per formula unit



Entry 11:
Entry from Alexandria via LeMat-Bulk: a relaxed Ca3YPb4 crystal (PBE).

extended XYZ file:
```
8
Lattice="3.606 0.000 0.000 0.000 3.606 0.000 0.000 0.000 18.190" Properties=species:S:1:pos:R:3 pbc="T T T"
Y 1.803 1.803 0.000
Pb 0.000 0.000 15.981
Pb 0.000 0.000 2.210
Pb 0.000 0.000 6.799
Pb 0.000 0.000 11.391
Ca 1.803 1.803 4.533
Ca 1.803 1.803 9.095
Ca 1.803 1.803 13.658
```

**Space group**: No. 123
**E_form**: -0.5138 eV per atom



Entry 12:
Entry from Alexandria via LeMat-Bulk: a relaxed KTl6Pb crystal (PBE).

extended XYZ file:
```
8
Lattice="5.577 0.000 0.000 0.000 5.577 0.000 0.000 0.000 9.320" Properties=species:S:1:pos:R:3 pbc="T T T"
K 0.000 0.000 0.000
Tl 2.788 0.000 6.368
Tl 0.000 2.788 6.368
Tl 2.788 2.788 1.477
Tl 2.788 2.788 7.843
Tl 0.000 2.788 2.952
Tl 2.788 0.000 2.952
Pb 0.000 0.000 4.660
```

**Space group**: No. 123
**E_form**: 0.0247 eV per atom
**Distance to the lowest polymorph of the same formula**: 53 meV per atom



Entry 13:
Entry from Alexandria via LeMat-Bulk: a relaxed LaSm7Tm2 crystal (PBE).

extended XYZ file:
```
10
Lattice="5.767 0.000 0.000 0.000 9.148 -0.391 0.000 -4.476 7.987" Properties=species:S:1:pos:R:3 pbc="T T T"
La 0.000 0.000 0.000
Sm 0.000 6.023 1.531
Sm 0.000 -1.351 6.066
Sm 2.883 -0.773 2.349
Sm 2.883 5.445 5.247
Sm 2.883 2.445 0.370
Sm 2.883 2.226 7.226
Sm 2.883 2.336 3.798
Tm 2.883 5.109 2.093
Tm 2.883 -0.437 5.504
```

**Space group**: No. 65
**E_form**: 0.6515 eV per atom
**Distance to the lowest polymorph of the same formula**: 572 meV per atom



Entry 14:
Entry from Alexandria via LeMat-Bulk: a relaxed Tl2CuW crystal (PBE).

extended XYZ file:
```
4
Lattice="-1.715 -1.668 1.996 0.051 -0.683 -3.039 7.366 -5.851 1.440" Properties=species:S:1:pos:R:3 pbc="T T T"
Cu 4.693 -5.564 0.558
Tl 7.280 -5.783 1.423
Tl 3.769 -2.994 0.737
W 1.010 -2.638 -0.162
```

**Space group**: No. 65
**E_form**: 0.8158 eV per atom
**Distance to the lowest polymorph of the same formula**: 173 meV per atom



Entry 15:
Entry from Alexandria via LeMat-Bulk: a relaxed PCI2 crystal (PBE).

extended XYZ file:
```
8
Lattice="6.965 0.000 0.000 0.000 6.965 0.000 3.483 3.483 4.032" Properties=species:S:1:pos:R:3 pbc="T T T"
I 4.932 1.741 1.008
I 2.033 5.224 1.008
I 5.224 5.516 3.024
I 8.706 8.414 3.024
P 0.000 0.000 0.000
P 6.965 3.483 2.016
C 3.483 3.483 0.000
C 3.483 6.965 2.016
```

**Space group**: No. 122
**Distance to the lowest polymorph of the same formula**: 0 meV per atom
**E_form (uncorrected)**: 7.0 eV per formula unit



Entry 16:
Entry from Alexandria via LeMat-Bulk: a relaxed Ti3Co5B2 crystal (PBE).

extended XYZ file:
```
20
Lattice="8.416 0.000 0.000 0.000 8.416 0.000 0.000 0.000 3.066" Properties=species:S:1:pos:R:3 pbc="T T T"
Ti 0.000 0.000 0.000
Ti 4.208 4.208 0.000
Ti 6.950 2.742 0.000
Ti 2.742 1.467 0.000
Ti 5.675 6.950 0.000
Ti 1.467 5.675 0.000
Co 4.208 0.000 1.533
Co 0.000 4.208 1.533
Co 0.599 1.853 1.533
Co 1.853 7.817 1.533
Co 6.563 0.599 1.533
Co 7.817 6.563 1.533
Co 3.609 6.062 1.533
Co 4.807 2.355 1.533
Co 6.062 4.807 1.533
Co 2.355 3.609 1.533
B 5.224 1.016 0.000
B 1.016 3.192 0.000
B 7.400 5.224 0.000
B 3.192 7.400 0.000
```

**Space group**: No. 127
**E_form**: -0.5565 eV per atom



Entry 17:
Entry from Alexandria via LeMat-Bulk: a relaxed Rb2U2FeSe6 crystal (PBE).

extended XYZ file:
```
11
Lattice="7.017 -0.011 0.060 -3.478 6.095 0.060 -1.262 -2.169 8.177" Properties=species:S:1:pos:R:3 pbc="T T T"
Rb 5.255 1.014 0.060
Rb -1.716 5.070 0.060
U -0.609 2.975 4.149
U 2.887 0.940 4.149
Fe -0.631 -1.084 4.089
Se 1.768 3.038 5.689
Se -1.760 0.863 5.644
Se 0.510 0.877 2.608
Se 1.620 -1.103 5.644
Se 4.038 3.052 2.653
Se 0.657 5.018 2.653
```

**Space group**: No. 12
**E_form (uncorrected)**: -10.8 eV per formula unit



Entry 18:
Entry from Alexandria via LeMat-Bulk: a relaxed AcCdNi crystal (PBE).

extended XYZ file:
```
3
Lattice="-3.364 2.456 0.536 -2.720 -3.390 -1.545 0.953 0.322 4.502" Properties=species:S:1:pos:R:3 pbc="T T T"
Ni -0.564 0.412 0.090
Ac -3.737 -0.517 0.828
Cd -0.831 -0.507 2.575
```

**Space group**: No. 156
**E_form**: -0.1987 eV per atom
**Distance to the lowest polymorph of the same formula**: 104 meV per atom



Entry 19:
Entry from Alexandria via LeMat-Bulk: a relaxed Ni2BiTe2 crystal (PBE).

extended XYZ file:
```
5
Lattice="3.681 0.000 0.000 0.000 3.681 0.000 1.841 1.841 8.318" Properties=species:S:1:pos:R:3 pbc="T T T"
Ni 3.681 1.841 4.159
Ni 1.841 3.681 4.159
Te 1.841 1.841 2.398
Te 3.681 3.681 5.920
Bi 0.000 0.000 0.000
```

**Space group**: No. 139
**E_form (uncorrected)**: -0.1 eV per formula unit



Entry 20:
Entry from Alexandria via LeMat-Bulk: a relaxed Ca5Ge2Pt crystal (PBE).

extended XYZ file:
```
16
Lattice="-7.082 -0.690 2.735 -1.955 -4.126 -6.104 6.493 -3.782 5.236" Properties=species:S:1:pos:R:3 pbc="T T T"
Ca -0.482 -5.844 1.023
Ca -5.825 -5.668 -2.144
Ca 0.000 0.000 0.000
Ca -4.519 -2.408 -1.685
Ca 3.281 -2.930 4.011
Ca -0.548 -3.883 4.479
Ca 3.347 -4.891 0.556
Ca -1.996 -4.715 -2.612
Ca -5.891 -3.707 1.311
Ca -2.062 -2.754 0.843
Ge -1.587 -1.655 -2.002
Ge -4.615 -0.917 0.967
Ge -4.422 -3.899 -4.336
Ge -7.451 -3.161 -1.368
Pt -3.532 -5.503 0.091
Pt 0.987 -3.095 1.776
```

**Space group**: No. 140
**E_form**: -0.6525 eV per atom



| no. | ρ (g/cm3) |
| --- | --- |
| 1 | 14.81 |
| 2 | 6.90 |
| 3 | 14.53 |
| 4 | 4.67 |
| 5 | 3.62 |
| 6 | 7.28 |
| 7 | 7.88 |
| 8 | 6.91 |
| 9 | 8.15 |
| 10 | 8.52 |
| 11 | 7.29 |
| 12 | 8.44 |
| 13 | 6.17 |
| 14 | 13.78 |
| 15 | 5.04 |
| 16 | 7.03 |
| 17 | 5.56 |
| 18 | 8.54 |
| 19 | 8.57 |
| 20 | 4.17 |